A relaxed structure of ErZnGa2Au, computed with PBE.

## Properties
Calculated formation energy ... -0.26 eV per atom
SG ... Cmme (67)
Uncorrected energy ... -3.291 eV per atom

a b c (Å): 5.2374 5.2374 8.5759
angles (deg): 90.00 90.00 109.16
Fractional positions:
Er: 0.2500 0.7500 0.8156
Er: 0.7500 0.2500 0.1844
Zn: 0.0000 0.0000 0.5000
Zn: 0.5000 0.5000 0.5000
Ga: 0.1057 0.8943 0.2348
Ga: 0.3943 0.6057 0.2348
Ga: 0.6057 0.3943 0.7652
Ga: 0.8943 0.1057 0.7652
Au: 0.2500 0.2500 0.0000
Au: 0.7500 0.7500 0.0000